1.
Material: Nd2DyMgO
Method: DFT, PBE
State: optimized geometry

abc: 4.725 5.079 5.079
angles: 90.00 90.00 90.00
Fractional positions:
Nd 0.000 0.000 0.500
Nd 0.000 0.500 0.000
Dy 0.500 0.000 0.000
Mg 0.500 0.500 0.500
O 0.000 0.000 0.000

Values from the calculation:
The calculation puts the formation energy (no corrections) at -5.9 eV/f.u. As for the density of states at the Fermi level: 3.93 states/eV/cell. The space group is P4/mmm.

---

2.
Material: NdDyMgOs
Method: DFT, PBE
State: optimized geometry

abc: 5.077 5.077 5.077
angles: 60.00 60.00 60.00
Fractional positions:
Os 0.750 0.750 0.750
Mg 0.250 0.250 0.250
Dy 0.000 0.000 0.000
Nd 0.500 0.500 0.500

Values from the calculation:
As for the density of states at the Fermi level: 2.79 states/eV/cell. As for the formation energy: -0.058 eV per atom. The space group is F-43m.

---

3.
Material: NdDyMgPa
Method: DFT, PBE
State: optimized geometry

abc: 5.434 5.434 5.434
angles: 60.00 60.00 60.00
Fractional positions:
Nd 0.000 0.000 0.000
Dy 0.500 0.500 0.500
Pa 0.250 0.250 0.250
Mg 0.750 0.750 0.750

Values from the calculation:
As for the density of states at the Fermi level: 8.41 states/eV/cell. As for the formation energy: 0.340 eV per atom. The space group is F-43m.

---

4.
Material: NdDyMgPd
Method: DFT, PBE
State: optimized geometry

abc: 5.218 5.218 5.218
angles: 60.00 60.00 60.00
Fractional positions:
Pd 0.000 0.000 0.000
Mg 0.500 0.500 0.500
Dy 0.250 0.250 0.250
Nd 0.750 0.750 0.750

Values from the calculation:
As for the density of states at the Fermi level: 3.35 states/eV/cell. As for the formation energy: -0.357 eV per atom. The space group is F-43m.

---

In the order shown, the computed raw total energy values come out to -0.19577 -0.20604 -0.17547 -0.16157 Ha/atom.
In the order shown, the computed size of the total moment values come out to 0.00 0.00 0.00 0.00 μB/atom.